Compound: TePbBr2
Source: Alexandria
Functional: meta-GGA SCAN
Structure: single point on PBEsol structure

Lattice parameters (Å, degrees): 5.3177 5.3177 5.3177 60.00 60.00 60.00
Last column: nearest neighbours and their distance in Å.
Fractional coordinates of all 4 atoms:
Te: 0.0000 0.0000 0.0000  4 Pb 3.26, 4 Br 3.26
Pb: 0.7500 0.7500 0.7500  4 Br 3.26, 4 Te 3.26
Br: 0.2500 0.2500 0.2500  4 Br 3.26, 4 Te 3.26
Br: 0.5000 0.5000 0.5000  4 Pb 3.26, 4 Br 3.26

Output
symmetry	No. 216
ΔE_f (raw)	-0.13	eV/atom
crystal system	cubic
energy above the most stable polymorph in this dataset	31	meV/atom
volume	106.33	Å³/cell